(1)
DFT (PBE-GGA) results for a geometry-optimized Th8Te4Os3Pb structure.

Crystal system: trigonal
Energy relative to the elements, uncorrected in eV/f.u.: -12.04
Theoretical density in kg/m³: 10645
M_tot in μB per formula unit: 0.000

a = 8.6222 Å, b = 9.1009 Å, c = 8.6230 Å
α = 118.28°, β = 120.00°, γ = 90.00°
Atoms (fractional coordinates):
Th 0.2488 0.7065 0.9578
Th 0.2488 0.7065 0.4976
Th 0.2657 0.2973 0.5314
Th 0.7090 0.7065 0.9578
Th 0.2910 0.2935 0.0422
Th 0.7343 0.7027 0.4686
Th 0.7512 0.2935 0.5024
Th 0.7512 0.2935 0.0422
Te 0.5000 0.0000 0.0000
Te 0.5000 0.0000 0.5000
Te 0.0000 0.0000 0.0000
Te 0.0000 0.0000 0.5000
Os 0.5000 0.5000 0.0000
Os 0.5000 0.5000 0.5000
Os 0.0000 0.5000 0.5000
Pb 0.0000 0.5000 0.0000

(2)
DFT (PBE-GGA) results for a geometry-optimized Zr2TeOsPb structure.

Crystal system: tetragonal
Energy relative to the elements, uncorrected in eV/f.u.: 7.99
Theoretical density in kg/m³: 7668
M_tot in μB per formula unit: 2.109

a = 5.2271 Å, b = 5.6072 Å, c = 5.2271 Å
α = 90.00°, β = 90.00°, γ = 90.00°
Each line ends with the local moment (μB).
Atoms (fractional coordinates):
Pb 0.0000 0.5000 0.0000  -0.02
Te 0.0000 0.0000 0.0000  0.00
Os 0.5000 0.5000 0.5000  2.10
Zr 0.0000 0.0000 0.5000  0.00
Zr 0.5000 0.0000 0.0000  -0.11

(3)
DFT (PBE-GGA) results for a geometry-optimized Th5Os2Pb2 structure.

Crystal system: orthorhombic
Theoretical density in kg/m³: 12390
DFT formation energy in meV/atom: -333
M_tot in μB per formula unit: 0.000
Distance to the lowest polymorph of the same formula in eV/atom: 0.000

a = 7.6537 Å, b = 8.3842 Å, c = 9.1796 Å
α = 117.17°, β = 90.00°, γ = 90.00°
Atoms (fractional coordinates):
Th 0.0000 0.0000 0.0000
Th 0.5000 0.5000 0.0000
Th 0.8485 0.7857 0.2294
Th 0.1515 0.4437 0.2294
Th 0.3485 0.9437 0.2294
Th 0.6515 0.2857 0.2294
Th 0.1515 0.2143 0.7706
Th 0.8485 0.5563 0.7706
Th 0.6515 0.0563 0.7706
Th 0.3485 0.7143 0.7706
Os 0.6500 0.8744 0.0000
Os 0.3500 0.1256 0.0000
Os 0.1500 0.6256 0.0000
Os 0.8500 0.3744 0.0000
Pb 0.0000 0.2148 0.4296
Pb 0.5000 0.7148 0.4296
Pb 0.0000 0.7852 0.5704
Pb 0.5000 0.2852 0.5704

(4)
DFT (PBE-GGA) results for a geometry-optimized Th8OsPb2 structure.

Crystal system: monoclinic
Theoretical density in kg/m³: 12069
DFT formation energy in meV/atom: -71
M_tot in μB per formula unit: 0.000

a = 5.5704 Å, b = 6.8446 Å, c = 10.0578 Å
α = 112.28°, β = 106.08°, γ = 90.00°
Atoms (fractional coordinates):
Th 0.4113 0.5613 0.8227
Th 0.6407 0.9839 0.2815
Th 0.7774 0.6752 0.5549
Th 0.9969 0.2301 0.9938
Th 0.2226 0.3248 0.4451
Th 0.3593 0.0161 0.7185
Th 0.5887 0.4387 0.1773
Th 0.0031 0.7699 0.0062
Os 0.5000 0.0000 0.0000
Pb 0.8283 0.2628 0.6567
Pb 0.1717 0.7372 0.3433

(5)
DFT (PBE-GGA) results for a geometry-optimized Th6Os3Pb structure.

Crystal system: monoclinic
Theoretical density in kg/m³: 12244
DFT formation energy in meV/atom: -297
M_tot in μB per formula unit: 0.000

a = 4.2948 Å, b = 11.7876 Å, c = 12.1426 Å
α = 106.76°, β = 90.00°, γ = 90.00°
Atoms (fractional coordinates):
Th 0.7500 0.4769 0.6089
Th 0.2500 0.5231 0.3911
Th 0.7500 0.9168 0.0860
Th 0.2500 0.0832 0.9140
Th 0.7500 0.3878 0.0431
Th 0.2500 0.6122 0.9569
Th 0.7500 0.7009 0.2608
Th 0.2500 0.2991 0.7392
Th 0.7500 0.1503 0.4553
Th 0.2500 0.8497 0.5447
Th 0.7500 0.7830 0.7703
Th 0.2500 0.2170 0.2297
Os 0.7500 0.4687 0.8349
Os 0.2500 0.5313 0.1651
Os 0.7500 0.6782 0.4978
Os 0.2500 0.3218 0.5022
Os 0.7500 0.1553 0.0811
Os 0.2500 0.8447 0.9189
Pb 0.7500 0.0585 0.6902
Pb 0.2500 0.9415 0.3098

(6)
DFT (PBE-GGA) results for a geometry-optimized Th3OsPb structure.

Crystal system: orthorhombic
Theoretical density in kg/m³: 12178
DFT formation energy in meV/atom: -335
M_tot in μB per formula unit: 0.000
Distance to the lowest polymorph of the same formula in eV/atom: 0.000

a = 4.5677 Å, b = 8.6049 Å, c = 15.1750 Å
α = 90.00°, β = 90.00°, γ = 90.00°
Atoms (fractional coordinates):
Th 0.2500 0.3572 0.5041
Th 0.7500 0.8146 0.2179
Th 0.7500 0.5293 0.8986
Th 0.7500 0.0293 0.6014
Th 0.7500 0.6428 0.4959
Th 0.2500 0.9707 0.3986
Th 0.2500 0.8572 0.9959
Th 0.7500 0.3146 0.2821
Th 0.2500 0.6854 0.7179
Th 0.2500 0.1854 0.7821
Th 0.7500 0.1428 0.0041
Th 0.2500 0.4707 0.1014
Os 0.2500 0.3203 0.9391
Os 0.2500 0.8203 0.5609
Os 0.7500 0.1797 0.4391
Os 0.7500 0.6797 0.0609
Pb 0.7500 0.9088 0.8211
Pb 0.2500 0.0912 0.1789
Pb 0.7500 0.4088 0.6789
Pb 0.2500 0.5912 0.3211

(7)
DFT (PBE-GGA) results for a geometry-optimized Th5Os2Pb2 structure.

Crystal system: orthorhombic
Theoretical density in kg/m³: 12310
DFT formation energy in meV/atom: -160
M_tot in μB per formula unit: 0.000
Distance to the lowest polymorph of the same formula in eV/atom: 0.173

a = 9.4978 Å, b = 6.5122 Å, c = 10.2893 Å
α = 108.45°, β = 117.49°, γ = 90.00°
Atoms (fractional coordinates):
Th 0.2312 0.6269 0.8781
Th 0.7688 0.7488 0.1219
Th 0.1469 0.1269 0.8781
Th 0.8531 0.2488 0.1219
Th 0.2546 0.1482 0.2962
Th 0.7454 0.8520 0.7038
Th 0.5416 0.6482 0.2962
Th 0.4584 0.3520 0.7038
Th 0.1507 0.7482 0.5000
Th 0.8493 0.2482 0.5000
Os 0.0000 0.9079 0.0000
Os 0.5000 0.4079 0.0000
Os 0.1308 0.2827 0.5000
Os 0.8692 0.7827 0.5000
Pb 0.1555 0.5957 0.1702
Pb 0.8445 0.4255 0.8298
Pb 0.5147 0.0957 0.1702
Pb 0.4853 0.9255 0.8298

(8)
DFT (PBE-GGA) results for a geometry-optimized Th4Os2Pb3 structure.

Crystal system: monoclinic
Theoretical density in kg/m³: 12737
DFT formation energy in meV/atom: -155
M_tot in μB per formula unit: 0.000

a = 6.3660 Å, b = 8.9613 Å, c = 8.9613 Å
α = 79.91°, β = 89.56°, γ = 89.56°
Atoms (fractional coordinates):
Th 0.5032 0.9715 0.2304
Th 0.9968 0.7696 0.0285
Th 0.4968 0.0285 0.7696
Th 0.0032 0.2304 0.9715
Th 0.2489 0.2604 0.4279
Th 0.2511 0.5721 0.7396
Th 0.7511 0.7396 0.5721
Th 0.7489 0.4279 0.2604
Os 0.6626 0.1246 0.4686
Os 0.8374 0.5314 0.8754
Os 0.3374 0.8754 0.5314
Os 0.1626 0.4686 0.1246
Pb 0.9929 0.9921 0.2994
Pb 0.5071 0.7006 0.0079
Pb 0.0071 0.0079 0.7006
Pb 0.4929 0.2994 0.9921
Pb 0.2500 0.6316 0.3684
Pb 0.7500 0.3684 0.6316

(9)
DFT (PBE-GGA) results for a geometry-optimized Th6OsPb2 structure.

Crystal system: monoclinic
Theoretical density in kg/m³: 11663
DFT formation energy in meV/atom: -179
M_tot in μB per formula unit: 0.000

a = 6.4405 Å, b = 8.2699 Å, c = 10.6881 Å
α = 90.00°, β = 92.74°, γ = 90.00°
Atoms (fractional coordinates):
Th 0.8787 0.9737 0.2495
Th 0.8620 0.6757 0.5378
Th 0.8732 0.6911 0.9597
Th 0.6268 0.1911 0.5403
Th 0.6380 0.1757 0.9622
Th 0.6213 0.4737 0.2505
Th 0.1213 0.0263 0.7505
Th 0.1380 0.3243 0.4622
Th 0.1268 0.3089 0.0403
Th 0.3732 0.8089 0.4597
Th 0.3620 0.8243 0.0378
Th 0.3787 0.5263 0.7495
Os 0.5000 0.5000 0.0000
Os 0.0000 0.0000 0.5000
Pb 0.8992 0.3914 0.7528
Pb 0.6008 0.8914 0.7472
Pb 0.3992 0.1086 0.2528
Pb 0.1008 0.6086 0.2472

(10)
DFT (PBE-GGA) results for a geometry-optimized Th3OsPb structure.

Crystal system: monoclinic
Theoretical density in kg/m³: 12144
DFT formation energy in meV/atom: -232
M_tot in μB per formula unit: 0.000
Distance to the lowest polymorph of the same formula in eV/atom: 0.102

a = 5.6343 Å, b = 6.8137 Å, c = 9.3953 Å
α = 67.48°, β = 72.55°, γ = 65.58°
Atoms (fractional coordinates):
Th 0.8697 0.9936 0.2671
Th 0.1303 0.0064 0.7329
Th 0.6362 0.6679 0.0596
Th 0.3638 0.3321 0.9404
Th 0.8669 0.6127 0.6535
Th 0.1331 0.3873 0.3465
Os 0.1082 0.7288 0.0549
Os 0.8918 0.2712 0.9451
Pb 0.3981 0.7734 0.4305
Pb 0.6019 0.2266 0.5695

(11)
DFT (PBE-GGA) results for a geometry-optimized Th3OsPb structure.

Crystal system: cubic
Theoretical density in kg/m³: 10825
DFT formation energy in meV/atom: -136
M_tot in μB per formula unit: 0.000
Distance to the lowest polymorph of the same formula in eV/atom: 0.198

a = 5.5150 Å, b = 5.5150 Å, c = 5.5150 Å
α = 90.00°, β = 90.00°, γ = 90.00°
Atoms (fractional coordinates):
Pb 0.5000 0.5000 0.5000
Os 0.0000 0.0000 0.0000
Th 0.0000 0.5000 0.0000
Th 0.0000 0.0000 0.5000
Th 0.5000 0.0000 0.0000

(12)
DFT (PBE-GGA) results for a geometry-optimized Th2TlOsPb structure.

Crystal system: monoclinic
Theoretical density in kg/m³: 12449
DFT formation energy in meV/atom: -255
M_tot in μB per formula unit: 0.000

a = 4.2335 Å, b = 9.1044 Å, c = 9.2964 Å
α = 127.48°, β = 90.00°, γ = 90.00°
Atoms (fractional coordinates):
Th 0.7500 0.7096 0.5672
Th 0.7500 0.8591 0.0472
Th 0.2500 0.2904 0.4328
Th 0.2500 0.1409 0.9528
Tl 0.2500 0.4821 0.8693
Tl 0.7500 0.5179 0.1307
Os 0.2500 0.7358 0.7805
Os 0.7500 0.2642 0.2195
Pb 0.2500 0.8499 0.3568
Pb 0.7500 0.1501 0.6432